Entry from the Alexandria database: a relaxed Ba2Ga4CuPd3 crystal (PBE).

Properties
ΔE_f ... -5.6 eV per formula unit
Magnetic moment ... 0.0 μB per formula unit
ρ ... 7.1 g cm⁻³

```
10
Lattice="4.559 0.000 0.000 0.000 4.559 0.000 0.000 0.000 10.501" Properties=species:S:1:pos:R:3 pbc="T T T"
Ba 0.000 2.280 2.570
Ba 2.280 0.000 7.931
Ga 0.000 0.000 5.250
Ga 0.000 2.280 9.326
Ga 2.280 0.000 1.175
Ga 2.280 2.280 5.250
Cu 2.280 2.280 0.000
Pd 0.000 0.000 0.000
Pd 0.000 2.280 6.570
Pd 2.280 0.000 3.930
```


Entry from the Alexandria database: a relaxed BaGa2CuPd crystal (PBE).

Properties
ΔE_f ... -1.4 eV per formula unit
Magnetic moment ... 0.0 μB per formula unit
ρ ... 6.2 g cm⁻³

```
5
Lattice="4.843 0.000 0.000 0.000 4.843 0.000 0.000 0.000 5.092" Properties=species:S:1:pos:R:3 pbc="T T T"
Ba 0.000 0.000 0.000
Ga 0.000 2.422 2.546
Ga 2.422 0.000 2.546
Cu 2.422 2.422 0.000
Pd 2.422 2.422 2.546
```


Entry from the Alexandria database: a relaxed Ba2GaCuPd6 crystal (PBE).

Properties
ΔE_f ... -4.3 eV per formula unit
Magnetic moment ... 0.0 μB per formula unit
ρ ... 7.8 g cm⁻³

```
10
Lattice="6.756 0.000 0.000 3.291 5.917 0.000 3.298 1.940 5.586" Properties=species:S:1:pos:R:3 pbc="T T T"
Ba 2.776 1.635 1.162
Ba 10.570 6.222 4.424
Ga 6.673 3.928 2.793
Cu 0.000 0.000 0.000
Pd 4.614 2.722 3.623
Pd 4.621 4.317 1.370
Pd 7.330 5.922 4.204
Pd 6.015 1.935 1.382
Pd 8.725 3.540 4.215
Pd 8.732 5.135 1.963
```